Record 1
ZnSn3As: single point on PBEsol structure, meta-GGA SCAN.

Geometry as POSCAR:
```
ZnSn3As
1.0
5.077 0.000 0.000
0.000 5.077 0.000
0.000 0.000 5.077
Zn As Sn
1 1 3
direct
0.000 0.000 0.000
0.500 0.500 0.500
0.000 0.500 0.000
0.000 0.000 0.500
0.500 0.000 0.000
```

Results
Its calculated total energy is -138.7 eV per cell. The energy of formation comes out at 0.5519 eV per atom. As for the density of states at the Fermi level: 2.09 states/eV/f.u.

Record 2
Zn2SnAs2: single point on PBEsol structure, meta-GGA SCAN.

Geometry as POSCAR:
```
Zn2SnAs2
1.0
4.249 0.000 0.000
0.000 4.249 0.000
-2.124 -2.124 5.457
Zn As Sn
2 2 1
direct
0.391 0.391 0.781
0.609 0.609 0.219
0.250 0.750 0.500
0.750 0.250 0.500
0.000 0.000 0.000
```

Results
Its calculated total energy is -102.3 eV per cell. The energy of formation comes out at 0.1996 eV per atom. As for the density of states at the Fermi level: 1.35 states/eV/f.u.

Record 3
ZrSn3As: single point on PBEsol structure, meta-GGA SCAN.

Geometry as POSCAR:
```
ZrSn3As
1.0
5.453 0.000 0.000
0.000 5.453 0.000
0.000 0.000 5.453
As Sn Zr
1 3 1
direct
0.500 0.500 0.500
0.000 0.500 0.000
0.000 0.000 0.500
0.500 0.000 0.000
0.000 0.000 0.000
```

Results
Its calculated total energy is -154.9 eV per cell. The energy of formation comes out at 0.7519 eV per atom. As for the density of states at the Fermi level: 4.37 states/eV/f.u.

Record 4
Sr5As4: single point on PBEsol structure, meta-GGA SCAN.

Geometry as POSCAR:
```
Sr5As4
1.0
-3.418 -3.201 2.179
0.077 -6.852 -3.825
3.553 -4.099 5.671
As Sr
4 5
direct
0.000 0.726 0.274
0.000 0.274 0.726
0.726 0.274 0.274
0.274 0.726 0.726
0.000 0.000 0.000
0.687 0.000 0.627
0.313 0.000 0.373
0.687 0.627 0.000
0.313 0.373 0.000
```

Results
Its calculated total energy is -197.3 eV per cell. The energy of formation comes out at -0.5714 eV per atom. As for the density of states at the Fermi level: 4.22 states/eV/f.u.

Record 5
Sr3As4: single point on PBEsol structure, meta-GGA SCAN.

Geometry as POSCAR:
```
Sr3As4
1.0
5.938 0.000 0.000
2.969 7.359 0.000
2.969 0.000 8.886
As Sr
8 6
direct
0.605 0.669 0.161
0.434 0.331 0.839
0.516 0.169 0.339
0.023 0.831 0.661
0.158 0.174 0.005
0.337 0.826 0.995
0.913 0.674 0.495
0.082 0.326 0.505
0.748 0.000 0.000
0.498 0.500 0.500
0.856 0.505 0.834
0.194 0.495 0.166
0.439 0.005 0.666
0.111 0.995 0.334
```

Results
Its calculated total energy is -310.8 eV per cell. The energy of formation comes out at -1.1135 eV per atom.

Record 6
SrAs3: single point on PBEsol structure, meta-GGA SCAN.

Geometry as POSCAR:
```
SrAs3
1.0
-5.786 0.044 -0.403
-1.748 -5.402 -2.266
1.451 -1.307 5.793
Sr As
2 6
direct
0.831 0.335 0.665
0.169 0.665 0.335
0.720 0.993 0.007
0.280 0.007 0.993
0.303 0.135 0.411
0.697 0.865 0.589
0.697 0.411 0.135
0.303 0.589 0.865
```

Results
Its calculated total energy is -171.4 eV per cell. The energy of formation comes out at -0.7097 eV per atom. As for the density of states at the Fermi level: 0.31 states/eV/f.u.

Record 7
SrAs4: single point on PBEsol structure, meta-GGA SCAN.

Geometry as POSCAR:
```
SrAs4
1.0
5.070 -0.005 0.005
-0.005 5.070 0.005
-2.527 -2.527 4.711
Sr As
1 4
direct
0.000 0.000 0.000
0.750 0.250 0.500
0.250 0.750 0.500
0.665 0.665 0.331
0.335 0.335 0.669
```

Results
Its calculated total energy is -104.8 eV per cell. The energy of formation comes out at -0.3576 eV per atom. As for the density of states at the Fermi level: 1.85 states/eV/f.u.

Record 8
Sr3As2: single point on PBEsol structure, meta-GGA SCAN.

Geometry as POSCAR:
```
Sr3As2
1.0
-2.840 -3.888 -1.986
0.591 0.423 5.157
-5.508 3.863 0.314
Sr As
3 2
direct
0.000 0.000 0.000
0.333 0.667 0.314
0.667 0.333 0.686
0.333 0.667 0.786
0.667 0.333 0.214
```

Results
Its calculated total energy is -113.5 eV per cell. The energy of formation comes out at -1.2650 eV per atom.

Record 9
SrAs3: single point on PBEsol structure, meta-GGA SCAN.

Geometry as POSCAR:
```
SrAs3
1.0
4.364 0.000 0.000
-2.182 3.779 0.000
0.000 0.000 6.221
Sr As
1 3
direct
0.333 0.667 0.500
0.000 0.000 0.206
0.000 0.000 0.794
0.333 0.667 0.000
```

Results
Its calculated total energy is -83.9 eV per cell. The energy of formation comes out at -0.2708 eV per atom. As for the density of states at the Fermi level: 1.42 states/eV/f.u.

Record 10
Sr3As: single point on PBEsol structure, meta-GGA SCAN.

Geometry as POSCAR:
```
Sr3As
1.0
4.436 0.000 0.000
2.218 3.841 0.000
2.218 1.280 10.863
Sr As
3 1
direct
0.716 0.716 0.851
0.500 0.500 0.500
0.284 0.284 0.149
0.000 0.000 0.000
```

Results
Its calculated total energy is -89.9 eV per cell. The energy of formation comes out at -0.7166 eV per atom. As for the density of states at the Fermi level: 3.11 states/eV/f.u.

Record 11
SrAs3: single point on PBEsol structure, meta-GGA SCAN.

Geometry as POSCAR:
```
SrAs3
1.0
3.879 0.000 0.000
0.000 3.879 0.000
0.000 0.000 6.000
Sr As
1 3
direct
0.500 0.500 0.500
0.000 0.000 0.798
0.500 0.500 0.000
0.000 0.000 0.202
```

Results
Its calculated total energy is -83.8 eV per cell. The energy of formation comes out at -0.2425 eV per atom. As for the density of states at the Fermi level: 3.44 states/eV/f.u.

Record 12
Sr3As: single point on PBEsol structure, meta-GGA SCAN.

Geometry as POSCAR:
```
Sr3As
1.0
4.941 0.000 0.000
0.000 4.941 0.000
-2.470 -2.470 11.829
As Sr
2 6
direct
0.595 0.595 0.190
0.405 0.405 0.810
0.000 0.500 0.000
0.500 0.000 0.000
0.750 0.250 0.500
0.250 0.750 0.500
0.880 0.880 0.761
0.120 0.120 0.239
```

Results
Its calculated total energy is -177.6 eV per cell. The energy of formation comes out at -0.4454 eV per atom. As for the density of states at the Fermi level: 1.28 states/eV/f.u.

Record 13
SrAs: single point on PBEsol structure, meta-GGA SCAN.

Geometry as POSCAR:
```
SrAs
1.0
4.334 0.000 0.000
0.000 4.637 0.012
-2.167 -0.990 5.570
Sr As
2 2
direct
0.130 0.242 0.259
0.870 0.758 0.741
0.408 0.303 0.817
0.592 0.697 0.183
```

Results
Its calculated total energy is -89.5 eV per cell. The energy of formation comes out at -1.1402 eV per atom. As for the density of states at the Fermi level: 0.18 states/eV/f.u.

Record 14
Sr3As2: single point on PBEsol structure, meta-GGA SCAN.

Geometry as POSCAR:
```
Sr3As2
1.0
7.753 -0.065 0.000
-0.425 7.742 0.000
-3.664 -3.838 5.933
Sr As
6 4
direct
0.363 0.388 0.684
0.612 0.637 0.316
0.429 0.954 0.816
0.046 0.571 0.184
0.074 0.926 0.000
0.824 0.176 0.500
0.218 0.266 0.946
0.734 0.782 0.054
0.022 0.571 0.554
0.429 0.978 0.446
```

Results
Its calculated total energy is -226.3 eV per cell. The energy of formation comes out at -1.1922 eV per atom.

Record 15
Sr4As3: single point on PBEsol structure, meta-GGA SCAN.

Geometry as POSCAR:
```
Sr4As3
1.0
-4.535 -7.665 -6.288
8.344 2.026 -8.487
7.489 -8.756 5.273
As Sr
24 32
direct
0.117 0.500 0.000
0.883 0.000 0.500
0.883 0.500 0.000
0.117 0.000 0.500
0.500 0.865 0.114
0.500 0.135 0.886
0.500 0.365 0.386
0.500 0.635 0.614
0.766 0.837 0.822
0.766 0.163 0.178
0.234 0.337 0.678
0.234 0.663 0.322
0.234 0.163 0.178
0.234 0.837 0.822
0.766 0.663 0.322
0.766 0.337 0.678
0.500 0.462 0.093
0.500 0.538 0.907
0.500 0.962 0.407
0.500 0.038 0.593
0.000 0.861 0.144
0.000 0.139 0.856
0.000 0.361 0.356
0.000 0.639 0.644
0.000 0.602 0.207
0.000 0.398 0.793
0.000 0.102 0.293
0.000 0.898 0.707
0.275 0.405 0.236
0.275 0.595 0.764
0.725 0.905 0.264
0.725 0.095 0.736
0.725 0.595 0.764
0.725 0.405 0.236
0.275 0.095 0.736
0.275 0.905 0.264
0.000 0.774 0.423
0.000 0.226 0.577
0.000 0.274 0.077
0.000 0.726 0.923
0.322 0.675 0.066
0.322 0.325 0.934
0.678 0.175 0.434
0.678 0.825 0.566
0.678 0.325 0.934
0.678 0.675 0.066
0.322 0.825 0.566
0.322 0.175 0.434
0.500 0.126 0.135
0.500 0.874 0.865
0.500 0.626 0.365
0.500 0.374 0.635
0.185 0.000 0.000
0.815 0.500 0.500
0.815 0.000 0.000
0.185 0.500 0.500
```

Results
Its calculated total energy is -1270.1 eV per cell. The energy of formation comes out at -1.2986 eV per atom.

Record 16
SrAs: single point on PBEsol structure, meta-GGA SCAN.

Geometry as POSCAR:
```
SrAs
1.0
-1.589 5.275 -2.649
-7.558 -2.976 -1.393
1.621 4.011 7.015
Sr As
6 6
direct
0.500 0.000 0.647
0.500 0.647 0.000
0.500 0.353 0.353
0.000 0.000 0.313
0.000 0.313 0.000
0.000 0.687 0.687
0.790 0.333 0.667
0.210 0.333 0.667
0.210 0.667 0.333
0.790 0.667 0.333
0.295 0.000 0.000
0.705 0.000 0.000
```

Results
Its calculated total energy is -269.8 eV per cell. The energy of formation comes out at -1.2523 eV per atom. As for the density of states at the Fermi level: 0.00 states/eV/f.u.

Record 17
SrTa2As: single point on PBEsol structure, meta-GGA SCAN.

Geometry as POSCAR:
```
SrTa2As
1.0
4.101 0.000 0.000
0.000 4.101 0.000
-2.050 -2.050 4.928
Sr As Ta
1 1 2
direct
0.000 0.000 0.000
0.500 0.500 0.000
0.750 0.250 0.500
0.250 0.750 0.500
```

Results
Its calculated total energy is -172.9 eV per cell. The energy of formation comes out at 0.6783 eV per atom. As for the density of states at the Fermi level: 3.84 states/eV/f.u.

Record 18
Sr4TaAs: single point on PBEsol structure, meta-GGA SCAN.

Geometry as POSCAR:
```
Sr4TaAs
1.0
6.540 0.000 0.000
3.270 5.664 0.000
3.270 1.888 5.340
As Sr Ta
1 4 1
direct
0.000 0.000 0.000
0.375 0.375 0.375
0.375 0.375 0.875
0.875 0.375 0.375
0.375 0.875 0.375
0.750 0.750 0.750
```

Results
Its calculated total energy is -169.5 eV per cell. The energy of formation comes out at 1.0593 eV per atom. As for the density of states at the Fermi level: 3.98 states/eV/f.u.

Record 19
SrTaAs2: single point on PBEsol structure, meta-GGA SCAN.

Geometry as POSCAR:
```
SrTaAs2
1.0
3.464 0.000 0.000
0.000 3.609 0.000
-1.732 -1.805 7.174
Sr As Ta
1 2 1
direct
0.548 0.548 0.096
0.928 0.928 0.855
0.727 0.227 0.454
0.298 0.798 0.595
```

Results
Its calculated total energy is -131.5 eV per cell. The energy of formation comes out at -0.5558 eV per atom. As for the density of states at the Fermi level: 2.51 states/eV/f.u.

Record 20
SrTaAs3: single point on PBEsol structure, meta-GGA SCAN.

Geometry as POSCAR:
```
SrTaAs3
1.0
4.998 0.000 0.000
0.000 4.998 0.000
0.000 0.000 4.998
Sr As Ta
1 3 1
direct
0.500 0.500 0.500
0.000 0.500 0.000
0.000 0.000 0.500
0.500 0.000 0.000
0.000 0.000 0.000
```

Results
Its calculated total energy is -151.7 eV per cell. The energy of formation comes out at -0.4592 eV per atom. As for the density of states at the Fermi level: 3.51 states/eV/f.u.

Record 21
SrTc2As2: single point on PBEsol structure, meta-GGA SCAN.

Geometry as POSCAR:
```
SrTc2As2
1.0
4.219 0.000 0.000
0.000 4.219 0.000
-2.110 -2.110 5.383
Sr As Tc
1 2 2
direct
0.000 0.000 0.000
0.364 0.364 0.728
0.636 0.636 0.272
0.250 0.750 0.500
0.750 0.250 0.500
```

Results
Its calculated total energy is -135.6 eV per cell. The energy of formation comes out at -0.5631 eV per atom. As for the density of states at the Fermi level: 2.58 states/eV/f.u.

Record 22
SrTcAs3: single point on PBEsol structure, meta-GGA SCAN.

Geometry as POSCAR:
```
SrTcAs3
1.0
4.856 0.000 0.000
0.000 4.856 0.000
0.000 0.000 4.856
Sr As Tc
1 3 1
direct
0.500 0.500 0.500
0.000 0.500 0.000
0.000 0.000 0.500
0.500 0.000 0.000
0.000 0.000 0.000
```

Results
Its calculated total energy is -118.8 eV per cell. The energy of formation comes out at -0.1722 eV per atom. As for the density of states at the Fermi level: 2.95 states/eV/f.u.

Record 23
SrTeAs2: single point on PBEsol structure, meta-GGA SCAN.

Geometry as POSCAR:
```
SrTeAs2
1.0
-2.372 -3.065 1.550
0.476 -3.910 -1.382
4.263 -3.533 5.158
Sr As Te
1 2 1
direct
0.500 0.500 0.500
0.260 0.260 0.221
0.740 0.740 0.779
0.000 0.000 0.000
```

Results
Its calculated total energy is -101.6 eV per cell. For the raw formation energy, the calculation gives -40.94 kJ/mol of atoms. As for the density of states at the Fermi level: 0.94 states/eV/f.u.

Record 24
SrTe2As: single point on PBEsol structure, meta-GGA SCAN.

Geometry as POSCAR:
```
SrTe2As
1.0
-4.212 0.147 0.174
-0.162 -5.387 0.632
2.406 3.180 4.424
Sr As Te
1 1 2
direct
0.754 0.254 0.507
0.544 0.544 0.087
0.972 0.972 0.944
0.231 0.731 0.461
```

Results
Its calculated total energy is -119.4 eV per cell. For the raw formation energy, the calculation gives -58.51 kJ/mol of atoms. As for the density of states at the Fermi level: 1.91 states/eV/f.u.

Record 25
Sr2TeAs: single point on PBEsol structure, meta-GGA SCAN.

Geometry as POSCAR:
```
Sr2TeAs
1.0
-2.976 -1.467 3.105
0.474 -4.261 -1.560
4.836 -0.988 4.169
Sr As Te
2 1 1
direct
0.000 0.000 0.000
0.500 0.500 0.500
0.000 0.000 0.500
0.500 0.500 0.000
```

Results
Its calculated total energy is -107.4 eV per cell. For the raw formation energy, the calculation gives -131.51 kJ/mol of atoms. As for the density of states at the Fermi level: 4.42 states/eV/f.u.